Here is crystalline CsGa2TcI at its relaxed geometry from Alexandria via LeMat-Bulk. Energies are from PBE-GGA.

Computed properties:
SG = P4/mmm (123)
Uncorrected formation energy = 1.6343 eV/atom
Total moment = 3.347 μB per cell
V = 285.4 Å³/cell
DFT total energy = -2.130 eV per atom

Structure (extended XYZ):
```
5
Lattice="6.514 0.000 0.000 0.000 6.727 0.000 0.000 0.000 6.514" Properties=species:S:1:pos:R:3 pbc="T T T"
Tc 3.257 3.363 3.257
Cs 0.000 0.000 0.000
Ga 3.257 0.000 0.000
I 0.000 3.363 0.000
Ga 0.000 0.000 3.257
```